# NbFeSbMo | OQMD | PBE | optimized geometry
# Theoretical density in Mg/m³: 9.54
# E in eV per atom: -8.248
data_NbFeSbMo
_chemical_formula_sum 'Nb4 Fe4 Sb4 Mo4'
_cell_length_a 6.343
_cell_length_b 6.343
_cell_length_c 6.343
_cell_angle_alpha 90.00
_cell_angle_beta 90.00
_cell_angle_gamma 90.00
_symmetry_space_group_name_H-M 'F -4 3 m'
_symmetry_Int_Tables_number 216
_symmetry_space_group_name_Hall 'F -4 2 3'
loop_
_atom_site_label
_atom_site_type_symbol
_atom_site_fract_x
_atom_site_fract_y
_atom_site_fract_z
Nb1 Nb 0.000 0.000 0.000
Fe1 Fe 0.250 0.250 0.750
Sb1 Sb 0.000 0.000 0.500
Mo1 Mo 0.250 0.250 0.250

---

# NbFeSiMo | OQMD | PBE | optimized geometry
# Theoretical density in Mg/m³: 8.02
# E in eV per atom: -8.813
data_NbFeSiMo
_chemical_formula_sum 'Nb4 Fe4 Si4 Mo4'
_cell_length_a 6.090
_cell_length_b 6.090
_cell_length_c 6.090
_cell_angle_alpha 90.00
_cell_angle_beta 90.00
_cell_angle_gamma 90.00
_symmetry_space_group_name_H-M 'F -4 3 m'
_symmetry_Int_Tables_number 216
_symmetry_space_group_name_Hall 'F -4 2 3'
loop_
_atom_site_label
_atom_site_type_symbol
_atom_site_fract_x
_atom_site_fract_y
_atom_site_fract_z
Nb1 Nb 0.000 0.000 0.000
Fe1 Fe 0.250 0.250 0.750
Si1 Si 0.000 0.000 0.500
Mo1 Mo 0.250 0.250 0.250

---

# FeSiNiMo | OQMD | PBE | optimized geometry
# Theoretical density in Mg/m³: 8.04
# E in eV per atom: -7.696
data_FeSiNiMo
_chemical_formula_sum 'Fe4 Si4 Ni4 Mo4'
_cell_length_a 5.820
_cell_length_b 5.820
_cell_length_c 5.820
_cell_angle_alpha 90.00
_cell_angle_beta 90.00
_cell_angle_gamma 90.00
_symmetry_space_group_name_H-M 'F -4 3 m'
_symmetry_Int_Tables_number 216
_symmetry_space_group_name_Hall 'F -4 2 3'
loop_
_atom_site_label
_atom_site_type_symbol
_atom_site_fract_x
_atom_site_fract_y
_atom_site_fract_z
Fe1 Fe 0.000 0.000 0.000
Si1 Si 0.000 0.000 0.500
Ni1 Ni 0.250 0.250 0.750
Mo1 Mo 0.250 0.250 0.250

---

# FeSiNiMo | OQMD | PBE | optimized geometry
# Theoretical density in Mg/m³: 8.05
# E in eV per atom: -7.649
data_FeSiNiMo
_chemical_formula_sum 'Fe4 Si4 Ni4 Mo4'
_cell_length_a 5.817
_cell_length_b 5.817
_cell_length_c 5.817
_cell_angle_alpha 90.00
_cell_angle_beta 90.00
_cell_angle_gamma 90.00
_symmetry_space_group_name_H-M 'F -4 3 m'
_symmetry_Int_Tables_number 216
_symmetry_space_group_name_Hall 'F -4 2 3'
loop_
_atom_site_label
_atom_site_type_symbol
_atom_site_fract_x
_atom_site_fract_y
_atom_site_fract_z
Fe1 Fe 0.000 0.000 0.000
Si1 Si 0.250 0.250 0.750
Ni1 Ni 0.250 0.250 0.250
Mo1 Mo 0.000 0.000 0.500

---

# TlFeNiMo | OQMD | PBE | optimized geometry
# Theoretical density in Mg/m³: 11.61
# E in eV per atom: -6.307
data_TlFeNiMo
_chemical_formula_sum 'Tl4 Fe4 Ni4 Mo4'
_cell_length_a 6.192
_cell_length_b 6.192
_cell_length_c 6.192
_cell_angle_alpha 90.00
_cell_angle_beta 90.00
_cell_angle_gamma 90.00
_symmetry_space_group_name_H-M 'F -4 3 m'
_symmetry_Int_Tables_number 216
_symmetry_space_group_name_Hall 'F -4 2 3'
loop_
_atom_site_label
_atom_site_type_symbol
_atom_site_fract_x
_atom_site_fract_y
_atom_site_fract_z
Tl1 Tl 0.000 0.000 0.000
Fe1 Fe 0.250 0.250 0.250
Ni1 Ni 0.250 0.250 0.750
Mo1 Mo 0.000 0.000 0.500

---

# ZnFeNiMo | OQMD | PBE | optimized geometry
# Formation enthalpy at 0 K in eV/atom: 0.068
# Theoretical density in Mg/m³: 9.04
# E in eV per atom: -6.429
data_ZnFeNiMo
_chemical_formula_sum 'Zn4 Fe4 Ni4 Mo4'
_cell_length_a 5.875
_cell_length_b 5.875
_cell_length_c 5.875
_cell_angle_alpha 90.00
_cell_angle_beta 90.00
_cell_angle_gamma 90.00
_symmetry_space_group_name_H-M 'F -4 3 m'
_symmetry_Int_Tables_number 216
_symmetry_space_group_name_Hall 'F -4 2 3'
loop_
_atom_site_label
_atom_site_type_symbol
_atom_site_fract_x
_atom_site_fract_y
_atom_site_fract_z
Zn1 Zn 0.000 0.000 0.000
Fe1 Fe 0.250 0.250 0.250
Ni1 Ni 0.250 0.250 0.750
Mo1 Mo 0.000 0.000 0.500

---

Number 1: energy relative to the lowest polymorph listed for this composition 0 meV per atom. Number 2: energy relative to the lowest polymorph listed for this composition 0 meV per atom. Number 3: energy relative to the lowest polymorph listed for this composition 0 meV per atom. Number 4: energy relative to the lowest polymorph listed for this composition 47 meV per atom. Number 5: energy relative to the lowest polymorph listed for this composition 0 meV per atom. Number 6: energy relative to the lowest polymorph listed for this composition 0 meV per atom.